[1]
Compound: Pm4Ho3Hg4
Source: Alexandria
Functional: PBE-GGA
Structure: relaxed

Computed properties:
Energy of formation from the pure elements, meV/atom: -279
Total magnetization, μB per atom: 0.000

a = 10.7529 Å, b = 10.7529 Å, c = 10.7529 Å
α = 160.60°, β = 128.82°, γ = 55.25°
Fractional coordinates of all 11 atoms:
Pm 0.0184 0.8400 0.1784
Pm 0.3384 0.1600 0.1784
Pm 0.6616 0.8400 0.8216
Pm 0.9816 0.1600 0.8216
Ho 0.0000 0.5000 0.5000
Ho 0.4038 0.4038 0.0000
Ho 0.5962 0.5962 0.0000
Hg 0.2729 0.7729 0.5000
Hg 0.2882 0.0000 0.2882
Hg 0.7118 0.0000 0.7118
Hg 0.7271 0.2271 0.5000

---

[2]
Compound: NaTbAuSe2
Source: Alexandria
Functional: PBE-GGA
Structure: relaxed

Computed properties:
Uncorrected formation energy, meV/atom: -1024
Total magnetization, μB per atom: 0.000

a = 6.9770 Å, b = 4.9524 Å, c = 7.7487 Å
α = 90.00°, β = 96.91°, γ = 90.00°
Fractional coordinates of all 10 atoms:
Na 0.0000 0.1000 0.2500
Na 0.0000 0.9000 0.7500
Tb 0.5000 0.4941 0.7500
Tb 0.5000 0.5059 0.2500
Au 0.5000 0.0000 0.0000
Au 0.5000 0.0000 0.5000
Se 0.2171 0.3399 0.9727
Se 0.2171 0.6601 0.4727
Se 0.7829 0.3399 0.5273
Se 0.7829 0.6601 0.0273

---

[3]
Compound: Si5As3
Source: Alexandria
Functional: PBE-GGA
Structure: relaxed

Computed properties:
Uncorrected formation energy, meV/atom: 518
Total magnetization, μB per atom: 0.000

a = 5.5708 Å, b = 5.5708 Å, c = 4.6038 Å
α = 90.00°, β = 90.00°, γ = 108.19°
Fractional coordinates of all 8 atoms:
Si 0.0000 0.0000 0.0000
Si 0.0000 0.5000 0.0000
Si 0.2653 0.2653 0.5000
Si 0.5000 0.0000 0.0000
Si 0.7347 0.7347 0.5000
As 0.2100 0.7900 0.5000
As 0.5000 0.5000 0.0000
As 0.7900 0.2100 0.5000

---

[4]
Compound: GeSbAu
Source: Alexandria
Functional: PBE-GGA
Structure: relaxed

Computed properties:
Uncorrected formation energy, meV/atom: 90
Total magnetization, μB per atom: 0.000

a = 4.0346 Å, b = 4.0346 Å, c = 11.2352 Å
α = 90.00°, β = 90.00°, γ = 132.97°
Fractional coordinates of all 6 atoms:
Ge 0.1565 0.8435 0.5000
Ge 0.8435 0.1565 0.0000
Sb 0.4312 0.5688 0.3099
Sb 0.5688 0.4312 0.8099
Au 0.1408 0.8592 0.1394
Au 0.8592 0.1408 0.6394

---

[5]
Compound: VSi2I
Source: Alexandria
Functional: PBE-GGA
Structure: relaxed

Computed properties:
Uncorrected formation energy, meV/atom: 667
Total magnetization, μB per atom: 0.395

a = 9.1862 Å, b = 9.1862 Å, c = 9.1862 Å
α = 150.40°, β = 150.40°, γ = 42.35°
Fractional coordinates of all 8 atoms:
V 0.0000 0.0000 0.0000
V 0.7500 0.2500 0.5000
Si 0.3750 0.1719 0.2969
Si 0.8281 0.1250 0.2031
Si 0.8750 0.0781 0.7031
Si 0.9219 0.6250 0.7969
I 0.2500 0.7500 0.5000
I 0.5000 0.5000 0.0000

---

[6]
Compound: Pr2Cu5Pt5
Source: Alexandria
Functional: PBE-GGA
Structure: relaxed

Computed properties:
Energy of formation from the pure elements, meV/atom: -604
Total magnetization, μB per atom: 0.000

a = 4.1121 Å, b = 5.5081 Å, c = 9.1200 Å
α = 90.00°, β = 90.00°, γ = 90.00°
Fractional coordinates of all 12 atoms:
Pr 0.0000 0.0000 0.0000
Pr 0.0000 0.5000 0.5000
Cu 0.0000 0.0000 0.3304
Cu 0.0000 0.0000 0.6696
Cu 0.0000 0.5000 0.1567
Cu 0.0000 0.5000 0.8433
Cu 0.5000 0.5000 0.0000
Pt 0.5000 0.0000 0.5000
Pt 0.5000 0.2504 0.2410
Pt 0.5000 0.2504 0.7590
Pt 0.5000 0.7496 0.2410
Pt 0.5000 0.7496 0.7590

---

[7]
Compound: Ac12Pr3Hg
Source: Alexandria
Functional: PBE-GGA
Structure: relaxed

Computed properties:
Energy of formation from the pure elements, meV/atom: -7
Total magnetization, μB per atom: 0.000

a = 5.4810 Å, b = 5.4810 Å, c = 22.1434 Å
α = 90.00°, β = 90.00°, γ = 90.00°
Fractional coordinates of all 16 atoms:
Ac 0.0000 0.0000 0.0000
Ac 0.0000 0.0000 0.2466
Ac 0.0000 0.0000 0.5000
Ac 0.0000 0.0000 0.7534
Ac 0.0000 0.5000 0.1212
Ac 0.0000 0.5000 0.3733
Ac 0.0000 0.5000 0.6267
Ac 0.0000 0.5000 0.8788
Ac 0.5000 0.0000 0.1212
Ac 0.5000 0.0000 0.3733
Ac 0.5000 0.0000 0.6267
Ac 0.5000 0.0000 0.8788
Pr 0.5000 0.5000 0.2464
Pr 0.5000 0.5000 0.5000
Pr 0.5000 0.5000 0.7536
Hg 0.5000 0.5000 0.0000

---

[8]
Compound: Ca2GaRhN
Source: Alexandria
Functional: PBE-GGA
Structure: relaxed

Computed properties:
Uncorrected formation energy, meV/atom: -550
Total magnetization, μB per atom: 0.000

a = 5.0032 Å, b = 5.0032 Å, c = 3.8642 Å
α = 90.00°, β = 90.00°, γ = 90.00°
Fractional coordinates of all 5 atoms:
Ca 0.0000 0.5000 0.0000
Ca 0.5000 0.0000 0.0000
Ga 0.0000 0.0000 0.5000
Rh 0.5000 0.5000 0.5000
N 0.5000 0.5000 0.0000

---

Number 1: calculated volume 29.153 A^3/atom. Number 2: calculated volume 26.580 A^3/atom. Number 3: calculated volume 16.967 A^3/atom. Number 4: calculated volume 22.304 A^3/atom. Number 5: calculated volume 23.576 A^3/atom. Number 6: calculated volume 17.214 A^3/atom. Number 7: calculated volume 41.576 A^3/atom. Number 8: calculated volume 19.346 A^3/atom.